Record 1
CuMo2Rh SCAN PBEsol geometry; space group = Cmmm; calculated volume = 13.81 A^3/atom; spin magnetization = 0.000 μB per cell; ΔE_f = 0.047 eV/atom
1.0
-0.6007 2.2345 -1.3169
-2.8393 -2.4680 -2.8924
-2.2613 1.6504 3.8317
Rh Cu Mo
1 1 2
direct
0.5000 0.5000 0.5000
0.5000 0.0000 0.0000
0.0000 0.0000 0.5000
0.0000 0.5000 0.0000

Record 2
Tb10B2Br15 SCAN PBEsol geometry; E_form (uncorrected) = -1.709 eV per atom; space group = P-1; calculated volume = 27.55 A^3/atom; spin magnetization = 0.000 μB per cell
1.0
8.8857 0.0066 -0.0088
-3.4086 8.9612 0.0105
-4.3568 -1.8708 9.3405
Tb Br B
10 15 2
direct
0.5253 0.6985 0.0962
0.4747 0.3015 0.9038
0.2740 0.9242 0.9507
0.7260 0.0758 0.0493
0.5849 0.0380 0.3261
0.3247 0.2570 0.1793
0.4151 0.9620 0.6739
0.8016 0.4126 0.2791
0.6753 0.7430 0.8207
0.1984 0.5874 0.7209
0.0610 0.3468 0.2308
0.8397 0.9413 0.2997
0.1603 0.0587 0.7003
0.1136 0.7034 0.4669
0.6413 0.8832 0.5821
0.7784 0.5930 0.0592
0.4053 0.4578 0.6506
0.0000 0.0000 0.0000
0.7147 0.2432 0.8201
0.9390 0.6532 0.7692
0.8864 0.2966 0.5331
0.2216 0.4070 0.9408
0.3587 0.1168 0.4179
0.5947 0.5422 0.3494
0.2853 0.7568 0.1799
0.4674 0.8192 0.8771
0.5326 0.1808 0.1229

Record 3
SrMg2Pd SCAN PBEsol geometry; space group = I4_1/amd; calculated volume = 31.31 A^3/atom; spin magnetization = 0.000 μB per cell; ΔE_f = -0.073 eV/atom
1.0
-0.2606 4.6034 -2.7640
-2.8575 -2.4618 -3.8306
-5.7705 0.9986 7.4349
Pd Mg Sr
2 4 2
direct
0.0000 0.0000 0.0000
0.2500 0.7500 0.5000
0.1250 0.8750 0.2500
0.6250 0.8750 0.7500
0.1250 0.8750 0.7500
0.1250 0.3750 0.2500
0.5000 0.5000 0.0000
0.7500 0.2500 0.5000

Record 4
Co2SeBr SCAN PBEsol geometry; E_form (uncorrected) = 0.862 eV per atom; space group = Fm-3m; calculated volume = 13.79 A^3/atom; spin magnetization = 0.752 μB per cell; energy above the most stable polymorph in this dataset = 1.0105 eV/atom
1.0
4.2731 0.0000 0.0000
2.1365 3.7006 0.0000
2.1365 1.2335 3.4889
Br Se Co
1 1 2
direct
0.0000 0.0000 0.0000
0.5000 0.5000 0.5000
0.2500 0.2500 0.2500
0.7500 0.7500 0.7500

Record 5
TaI3N SCAN PBEsol geometry; E_form (uncorrected) = 1.018 eV per atom; space group = Pm-3m; calculated volume = 32.93 A^3/atom; spin magnetization = 2.862 μB per cell
1.0
5.4807 0.0000 0.0000
0.0000 5.4807 0.0000
0.0000 0.0000 5.4807
N Ta I
1 1 3
direct
0.5000 0.5000 0.5000
0.0000 0.0000 0.0000
0.0000 0.0000 0.5000
0.0000 0.5000 0.0000
0.5000 0.0000 0.0000

Record 6
MgZn4Ru SCAN PBEsol geometry; space group = F-43m; calculated volume = 14.05 A^3/atom; spin magnetization = 0.000 μB per cell; ΔE_f = -0.094 eV/atom
1.0
4.9218 0.0000 0.0000
2.4609 4.2624 0.0000
2.4609 1.4208 4.0187
Mg Zn Ru
1 4 1
direct
0.7500 0.7500 0.7500
0.3741 0.8777 0.3741
0.3741 0.3741 0.3741
0.8777 0.3741 0.3741
0.3741 0.3741 0.8777
0.0000 0.0000 0.0000